No. 1
# CoNiTe2Cl | the Alexandria database | PBE | optimized geometry
data_CoNiTe2Cl
_chemical_formula_sum 'Co1 Ni1 Te2 Cl1'
_cell_length_a 5.1269
_cell_length_b 4.2456
_cell_length_c 5.1269
_cell_angle_alpha 90.00
_cell_angle_beta 90.00
_cell_angle_gamma 90.00
_symmetry_space_group_name_H-M 'P 1'
_symmetry_Int_Tables_number 1
loop_
_symmetry_equiv_pos_as_xyz
'x,y,z'
loop_
_atom_site_label
_atom_site_fract_x
_atom_site_fract_y
_atom_site_fract_z
_atom_site_occupancy
Ni1 0.5000 0.5000 0.5000 1
Te1 0.0000 0.0000 0.5000 1
Te2 0.5000 0.0000 0.0000 1
Co1 0.0000 0.0000 0.0000 1
Cl1 0.0000 0.5000 0.0000 1
# Energy relative to the elements, uncorrected in eV per formula unit: 2.674

=====

No. 2
# NdSmErAl | the Alexandria database | PBE | optimized geometry
data_NdSmErAl
_chemical_formula_sum 'Nd1 Sm1 Er1 Al1'
_cell_length_a 3.5434
_cell_length_b 3.5434
_cell_length_c 9.2069
_cell_angle_alpha 90.00
_cell_angle_beta 90.00
_cell_angle_gamma 90.00
_symmetry_space_group_name_H-M 'P 1'
_symmetry_Int_Tables_number 1
loop_
_symmetry_equiv_pos_as_xyz
'x,y,z'
loop_
_atom_site_label
_atom_site_fract_x
_atom_site_fract_y
_atom_site_fract_z
_atom_site_occupancy
Nd1 0.0000 0.0000 0.0790 1
Sm1 0.5000 0.5000 0.7804 1
Er1 0.5000 0.5000 0.3614 1
Al1 0.0000 0.0000 0.5639 1
# ΔE to the lowest computed polymorph in eV/atom: 0.000
# Formation enthalpy at 0 K in eV per formula unit: -0.73

=====

No. 3
# Ti3Ga3TcRh2 | the Alexandria database | PBE | optimized geometry
data_Ti3Ga3TcRh2
_chemical_formula_sum 'Ti3 Ga3 Tc1 Rh2'
_cell_length_a 3.0297
_cell_length_b 7.2637
_cell_length_c 7.2637
_cell_angle_alpha 120.00
_cell_angle_beta 90.00
_cell_angle_gamma 90.00
_symmetry_space_group_name_H-M 'P 1'
_symmetry_Int_Tables_number 1
loop_
_symmetry_equiv_pos_as_xyz
'x,y,z'
loop_
_atom_site_label
_atom_site_fract_x
_atom_site_fract_y
_atom_site_fract_z
_atom_site_occupancy
Ti1 0.5000 0.7147 0.0000 1
Ti2 0.5000 0.0000 0.7147 1
Ti3 0.5000 0.2853 0.2853 1
Ga1 0.0000 0.6273 0.6273 1
Ga2 0.0000 0.0000 0.3727 1
Ga3 0.0000 0.3727 0.0000 1
Tc1 0.0000 0.0000 0.0000 1
Rh1 0.5000 0.6667 0.3333 1
Rh2 0.5000 0.3333 0.6667 1
# Formation enthalpy at 0 K in eV per formula unit: -5.28

=====

No. 4
# Pm3PrNd2 | the Alexandria database | PBE | optimized geometry
data_Pm3PrNd2
_chemical_formula_sum 'Pm6 Pr2 Nd4'
_cell_length_a 3.4664
_cell_length_b 6.7802
_cell_length_c 18.1906
_cell_angle_alpha 90.00
_cell_angle_beta 90.00
_cell_angle_gamma 90.00
_symmetry_space_group_name_H-M 'P 1'
_symmetry_Int_Tables_number 1
loop_
_symmetry_equiv_pos_as_xyz
'x,y,z'
loop_
_atom_site_label
_atom_site_fract_x
_atom_site_fract_y
_atom_site_fract_z
_atom_site_occupancy
Pm1 0.0000 0.0000 0.0000 1
Pm2 0.5000 0.5000 0.5000 1
Pm3 0.5000 0.7774 0.8497 1
Pm4 0.5000 0.2226 0.1503 1
Pm5 0.0000 0.2774 0.6503 1
Pm6 0.0000 0.7226 0.3497 1
Pr1 0.0000 0.0000 0.5000 1
Pr2 0.5000 0.5000 0.0000 1
Nd1 0.5000 0.7278 0.1823 1
Nd2 0.0000 0.2278 0.3177 1
Nd3 0.0000 0.7722 0.6823 1
Nd4 0.5000 0.2722 0.8177 1
# ΔE to the lowest computed polymorph in eV/atom: 0.103
# Formation enthalpy at 0 K in eV per formula unit: 1.45

=====

No. 5
# Rb2ZrCdF6 | the Alexandria database | PBE | optimized geometry
data_Rb2ZrCdF6
_chemical_formula_sum 'Rb2 Zr1 Cd1 F6'
_cell_length_a 7.0356
_cell_length_b 7.0356
_cell_length_c 7.0358
_cell_angle_alpha 60.00
_cell_angle_beta 60.00
_cell_angle_gamma 90.00
_symmetry_space_group_name_H-M 'P 1'
_symmetry_Int_Tables_number 1
loop_
_symmetry_equiv_pos_as_xyz
'x,y,z'
loop_
_atom_site_label
_atom_site_fract_x
_atom_site_fract_y
_atom_site_fract_z
_atom_site_occupancy
F1 0.2949 0.2949 0.4101 1
F2 0.7051 0.7051 0.5899 1
F3 0.2949 0.2949 0.0000 1
F4 0.7051 0.7051 0.0000 1
F5 0.7051 0.2949 0.0000 1
F6 0.2949 0.7051 0.0000 1
Rb1 0.7500 0.2500 0.5000 1
Rb2 0.2500 0.7500 0.5000 1
Zr1 0.5000 0.5000 0.0000 1
Cd1 0.0000 0.0000 0.0000 1
# Energy relative to the elements, uncorrected in eV per formula unit: -28.712

=====

No. 6
# TlCo2SnB | the Alexandria database | PBE | optimized geometry
data_TlCo2SnB
_chemical_formula_sum 'Tl1 Co2 Sn1 B1'
_cell_length_a 4.8858
_cell_length_b 4.3058
_cell_length_c 4.8858
_cell_angle_alpha 90.00
_cell_angle_beta 90.00
_cell_angle_gamma 90.00
_symmetry_space_group_name_H-M 'P 1'
_symmetry_Int_Tables_number 1
loop_
_symmetry_equiv_pos_as_xyz
'x,y,z'
loop_
_atom_site_label
_atom_site_fract_x
_atom_site_fract_y
_atom_site_fract_z
_atom_site_occupancy
Tl1 0.5000 0.5000 0.5000 1
B1 0.0000 0.5000 0.0000 1
Co1 0.0000 0.0000 0.5000 1
Co2 0.5000 0.0000 0.0000 1
Sn1 0.0000 0.0000 0.0000 1
# Formation enthalpy at 0 K in eV per formula unit: 7.23

=====

No. 7
# KNd4Se6 | the Alexandria database | PBE | optimized geometry
data_KNd4Se6
_chemical_formula_sum 'K2 Nd8 Se12'
_cell_length_a 4.2565
_cell_length_b 7.4072
_cell_length_c 22.3274
_cell_angle_alpha 90.00
_cell_angle_beta 90.00
_cell_angle_gamma 106.70
_symmetry_space_group_name_H-M 'P 1'
_symmetry_Int_Tables_number 1
loop_
_symmetry_equiv_pos_as_xyz
'x,y,z'
loop_
_atom_site_label
_atom_site_fract_x
_atom_site_fract_y
_atom_site_fract_z
_atom_site_occupancy
K1 0.6530 0.3060 0.2500 1
K2 0.3470 0.6940 0.7500 1
Nd1 0.8681 0.7362 0.5426 1
Nd2 0.4008 0.8015 0.1344 1
Nd3 0.1319 0.2638 0.4574 1
Nd4 0.5992 0.1985 0.8656 1
Nd5 0.8681 0.7362 0.9574 1
Nd6 0.1319 0.2638 0.0426 1
Nd7 0.5992 0.1985 0.6344 1
Nd8 0.4008 0.8015 0.3656 1
Se1 0.5000 0.0000 0.0000 1
Se2 0.5000 0.0000 0.5000 1
Se3 0.0370 0.0740 0.3438 1
Se4 0.9630 0.9260 0.6562 1
Se5 0.9630 0.9260 0.8438 1
Se6 0.0370 0.0740 0.1562 1
Se7 0.7721 0.5441 0.4200 1
Se8 0.2279 0.4559 0.5800 1
Se9 0.2279 0.4559 0.9200 1
Se10 0.7721 0.5441 0.0800 1
Se11 0.3271 0.6542 0.2500 1
Se12 0.6729 0.3458 0.7500 1
# Energy relative to the elements, uncorrected in eV per formula unit: -19.662

=====

No. 8
# KScCo3 | the Alexandria database | PBE | optimized geometry
data_KScCo3
_chemical_formula_sum 'K1 Sc1 Co3'
_cell_length_a 4.7821
_cell_length_b 4.7821
_cell_length_c 4.7821
_cell_angle_alpha 90.00
_cell_angle_beta 90.00
_cell_angle_gamma 90.00
_symmetry_space_group_name_H-M 'P 1'
_symmetry_Int_Tables_number 1
loop_
_symmetry_equiv_pos_as_xyz
'x,y,z'
loop_
_atom_site_label
_atom_site_fract_x
_atom_site_fract_y
_atom_site_fract_z
_atom_site_occupancy
Sc1 0.0000 0.0000 0.0000 1
K1 0.5000 0.5000 0.5000 1
Co1 0.0000 0.5000 0.0000 1
Co2 0.0000 0.0000 0.5000 1
Co3 0.5000 0.0000 0.0000 1
# ΔE to the lowest computed polymorph in eV/atom: 0.000
# Formation enthalpy at 0 K in eV per formula unit: 6.47

=====

No. 9
# ZrCrCoTc | the Alexandria database | PBE | optimized geometry
data_ZrCrCoTc
_chemical_formula_sum 'Zr1 Cr1 Co1 Tc1'
_cell_length_a 4.3792
_cell_length_b 4.3792
_cell_length_c 4.3792
_cell_angle_alpha 60.00
_cell_angle_beta 60.00
_cell_angle_gamma 60.00
_symmetry_space_group_name_H-M 'P 1'
_symmetry_Int_Tables_number 1
loop_
_symmetry_equiv_pos_as_xyz
'x,y,z'
loop_
_atom_site_label
_atom_site_fract_x
_atom_site_fract_y
_atom_site_fract_z
_atom_site_occupancy
Cr1 0.0000 0.0000 0.0000 1
Co1 0.2500 0.2500 0.2500 1
Tc1 0.7500 0.7500 0.7500 1
Zr1 0.5000 0.5000 0.5000 1
# Formation enthalpy at 0 K in eV per formula unit: -0.13

=====

No. 10
# AlCrBi2 | the Alexandria database | PBE | optimized geometry
data_AlCrBi2
_chemical_formula_sum 'Al2 Cr2 Bi4'
_cell_length_a 6.4501
_cell_length_b 6.4501
_cell_length_c 7.8007
_cell_angle_alpha 65.58
_cell_angle_beta 65.58
_cell_angle_gamma 90.00
_symmetry_space_group_name_H-M 'P 1'
_symmetry_Int_Tables_number 1
loop_
_symmetry_equiv_pos_as_xyz
'x,y,z'
loop_
_atom_site_label
_atom_site_fract_x
_atom_site_fract_y
_atom_site_fract_z
_atom_site_occupancy
Cr1 0.0000 0.0000 0.0000 1
Cr2 0.7500 0.2500 0.5000 1
Bi1 0.6325 0.1250 0.2500 1
Bi2 0.1175 0.6250 0.2500 1
Bi3 0.3750 0.3675 0.7500 1
Bi4 0.8750 0.8825 0.7500 1
Al1 0.5000 0.5000 0.0000 1
Al2 0.2500 0.7500 0.5000 1
# Formation enthalpy at 0 K in eV per formula unit: 2.00